VASP calculation (PBE) on a relaxed HfZr2Pt crystal.

Lattice parameters (Å, degrees): 4.8285 4.8285 4.8285 60.00 60.00 60.00
Last column: nearest neighbours and their distance in Å.
Fractional coordinates of all 4 atoms:
Hf (0.0000, 0.0000, 0.0000)  8 Zr 2.96
Zr (0.2500, 0.2500, 0.2500)  4 Hf 2.96, 4 Pt 2.96
Zr (0.7500, 0.7500, 0.7500)  4 Hf 2.96, 4 Pt 2.96
Pt (0.5000, 0.5000, 0.5000)  8 Zr 2.96

The space-group type is Fm-3m. The value obtained for the energy of formation from the pure elements is -0.351 eV/atom. The energy comes out at -34.495 eV per cell.



VASP calculation (PBE) on a relaxed Hf3ZrPt crystal.

Lattice parameters (Å, degrees): 4.9866 4.9866 4.9866 90.00 90.00 90.00
Last column: nearest neighbours and their distance in Å.
Fractional coordinates of all 5 atoms:
Hf (0.0000, 0.0000, 0.5000)  2 Zr 2.49
Hf (0.0000, 0.5000, 0.0000)  2 Zr 2.49
Hf (0.5000, 0.0000, 0.0000)  2 Zr 2.49
Zr (0.0000, 0.0000, 0.0000)  6 Hf 2.49
Pt (0.5000, 0.5000, 0.5000)  12 Hf 3.53

The space-group type is Pm-3m. The value obtained for the energy of formation from the pure elements is 1.262 eV/atom. The energy comes out at -38.140 eV per cell.



VASP calculation (PBE) on a relaxed HfZr2Pt crystal.

Lattice parameters (Å, degrees): 5.7112 5.7112 3.5130 107.83 107.83 48.97
Last column: nearest neighbours and their distance in Å.
Fractional coordinates of all 4 atoms:
Hf (0.0000, 0.0000, 0.0000)  2 Pt 2.87-2.88, 6 Zr 2.96-3.14
Zr (0.4721, 0.4721, 0.4730)  2 Pt 2.93-2.94, 4 Hf 2.96, 2 Zr 3.11
Zr (0.7343, 0.7343, 0.2352)  4 Pt 2.95, 2 Zr 3.11, 4 Hf 3.14-3.30
Pt (0.2321, 0.2321, 0.7328)  2 Hf 2.87-2.88, 6 Zr 2.93-2.95

The space-group type is Cm. The value obtained for the energy of formation from the pure elements is -0.495 eV/atom. The energy comes out at -35.069 eV per cell.



VASP calculation (PBE) on a relaxed HfZr2Pt crystal.

Lattice parameters (Å, degrees): 4.8083 4.8083 4.8083 60.00 60.00 60.00
Last column: nearest neighbours and their distance in Å.
Fractional coordinates of all 4 atoms:
Hf (0.0000, 0.0000, 0.0000)  4 Zr 2.94, 4 Pt 2.94
Zr (0.5000, 0.5000, 0.5000)  4 Zr 2.94, 4 Pt 2.94
Zr (0.7500, 0.7500, 0.7500)  4 Hf 2.94, 4 Zr 2.94
Pt (0.2500, 0.2500, 0.2500)  4 Hf 2.94, 4 Zr 2.94

The space-group type is F-43m. The value obtained for the energy of formation from the pure elements is -0.393 eV/atom. The energy comes out at -34.662 eV per cell.



VASP calculation (PBE) on a relaxed Hf2ZrPt crystal.

Lattice parameters (Å, degrees): 5.0000 5.8214 5.5199 90.00 90.00 90.00
Last column: nearest neighbours and their distance in Å.
Fractional coordinates of all 8 atoms:
Hf (0.2500, 0.0010, 0.1270)  4 Hf 2.87-2.92, 3 Pt 2.92-3.11, 1 Zr 3.03
Hf (0.2500, 0.4990, 0.1270)  4 Hf 2.87-2.92, 3 Pt 2.92-3.11, 1 Zr 3.03
Hf (0.7500, 0.5010, 0.8730)  4 Hf 2.87-2.92, 3 Pt 2.92-3.11, 1 Zr 3.03
Hf (0.7500, 0.9990, 0.8730)  4 Hf 2.87-2.92, 3 Pt 2.92-3.11, 1 Zr 3.03
Zr (0.2500, 0.7500, 0.6073)  4 Pt 2.93, 8 Hf 3.03-3.24
Zr (0.7500, 0.2500, 0.3927)  4 Pt 2.93, 8 Hf 3.03-3.24
Pt (0.2500, 0.2500, 0.6681)  6 Hf 2.92-3.11, 4 Zr 2.93
Pt (0.7500, 0.7500, 0.3319)  6 Hf 2.92-3.11, 4 Zr 2.93

The space-group type is Pmmn. The value obtained for the energy of formation from the pure elements is -0.403 eV/atom. The energy comes out at -72.215 eV per cell.



VASP calculation (PBE) on a relaxed Hf2ZrPt crystal.

Lattice parameters (Å, degrees): 3.3276 3.3276 7.3377 90.00 90.00 90.00
Last column: nearest neighbours and their distance in Å.
Fractional coordinates of all 4 atoms:
Hf (0.0000, 0.0000, 0.2234)  4 Pt 2.87, 4 Zr 3.11
Hf (0.0000, 0.0000, 0.7766)  4 Pt 2.87, 4 Zr 3.11
Zr (0.5000, 0.5000, 0.5000)  8 Hf 3.11, 4 Zr 3.33
Pt (0.5000, 0.5000, 0.0000)  8 Hf 2.87

The space-group type is P4/mmm. The value obtained for the energy of formation from the pure elements is -0.557 eV/atom. The energy comes out at -36.723 eV per cell.



VASP calculation (PBE) on a relaxed HfZrPt2 crystal.

Lattice parameters (Å, degrees): 5.9800 5.9800 5.9800 103.35 103.35 122.56
Last column: nearest neighbours and their distance in Å.
Fractional coordinates of all 8 atoms:
Hf (0.0000, 0.0000, 0.0000)  4 Pt 2.68, 2 Zr 2.87
Hf (0.7500, 0.2500, 0.5000)  4 Pt 2.68, 2 Zr 2.87
Zr (0.2500, 0.7500, 0.5000)  4 Pt 2.76, 2 Hf 2.87
Zr (0.5000, 0.5000, 0.0000)  4 Pt 2.76, 2 Hf 2.87
Pt (0.1166, 0.6250, 0.9916)  2 Hf 2.68, 2 Zr 2.76, 2 Pt 2.88
Pt (0.3750, 0.3666, 0.4916)  2 Hf 2.68, 2 Zr 2.76, 2 Pt 2.88
Pt (0.6334, 0.1250, 0.0084)  2 Hf 2.68, 2 Zr 2.76, 2 Pt 2.88
Pt (0.8750, 0.8834, 0.5084)  2 Hf 2.68, 2 Zr 2.76, 2 Pt 2.88

The space-group type is I-42d. The value obtained for the energy of formation from the pure elements is -0.556 eV/atom. The energy comes out at -65.610 eV per cell.



VASP calculation (PBE) on a relaxed Hf4ZrPt crystal.

Lattice parameters (Å, degrees): 7.4128 7.4128 5.5538 100.43 100.43 115.73
Last column: nearest neighbours and their distance in Å.
Fractional coordinates of all 12 atoms:
Hf (0.0801, 0.7038, 0.9387)  2 Pt 2.84-2.88, 4 Hf 2.99-3.15, 2 Zr 3.04-3.07
Hf (0.1904, 0.3880, 0.6428)  2 Pt 2.81-2.87, 1 Zr 3.04, 2 Hf 3.10-3.13
Hf (0.2962, 0.9199, 0.5613)  2 Pt 2.84-2.88, 4 Hf 2.99-3.15, 2 Zr 3.04-3.07
Hf (0.3880, 0.1904, 0.1428)  2 Pt 2.81-2.87, 1 Zr 3.04, 2 Hf 3.10-3.13
Hf (0.6120, 0.8096, 0.8572)  2 Pt 2.81-2.87, 1 Zr 3.04, 2 Hf 3.10-3.13
Hf (0.7038, 0.0801, 0.4387)  2 Pt 2.84-2.88, 4 Hf 2.99-3.15, 2 Zr 3.04-3.07
Hf (0.8096, 0.6120, 0.3572)  2 Pt 2.81-2.87, 1 Zr 3.04, 2 Hf 3.10-3.13
Hf (0.9199, 0.2962, 0.0613)  2 Pt 2.84-2.88, 4 Hf 2.99-3.15, 2 Zr 3.04-3.07
Zr (0.3914, 0.6086, 0.2500)  10 Hf 3.04-3.21
Zr (0.6086, 0.3914, 0.7500)  10 Hf 3.04-3.21
Pt (0.0043, 0.9957, 0.2500)  2 Pt 2.78, 8 Hf 2.81-2.88
Pt (0.9957, 0.0043, 0.7500)  2 Pt 2.78, 8 Hf 2.81-2.88

The space-group type is C2/c. The value obtained for the energy of formation from the pure elements is -0.260 eV/atom. The energy comes out at -111.928 eV per cell.



What is the energy in the third record?
-35.069 eV per cell